No. 1
Material: RbLa3Tl
Method: DFT, PBE-GGA
State: relaxed

The space group is Pm-3m, No. 221. As for the polymorph energy (0 for the lowest one): 609 meV/atom. The energy of formation from the pure elements comes out at 0.946 eV/atom.

a b c (Å): 5.728 5.728 5.728
angles (deg): 90.00 90.00 90.00
Sites, in units of the cell vectors:
Rb1 0.000 0.000 0.000
La1 0.000 0.000 0.500
La2 0.000 0.500 0.000
La3 0.500 0.000 0.000
Tl1 0.500 0.500 0.500


No. 2
Material: Nd5SmEr4
Method: DFT, PBE-GGA
State: relaxed

The space group is P-1, No. 2. As for the polymorph energy (0 for the lowest one): 0 meV/atom. The energy of formation from the pure elements comes out at 0.017 eV/atom.

a b c (Å): 3.608 9.503 10.207
angles (deg): 73.99 89.94 79.34
Sites, in units of the cell vectors:
Nd1 0.000 0.000 0.000
Nd2 0.200 0.599 0.101
Nd3 0.398 0.201 0.696
Nd4 0.602 0.799 0.304
Nd5 0.800 0.401 0.899
Sm1 0.000 0.000 0.500
Er1 0.200 0.601 0.600
Er2 0.399 0.202 0.203
Er3 0.601 0.798 0.797
Er4 0.800 0.399 0.400


No. 3
Material: Tl5CuSe4
Method: DFT, PBE-GGA
State: relaxed

The space group is C2/m, No. 12. Its formation energy without anion corrections is -0.21 eV/atom.

a b c (Å): 9.399 9.399 7.932
angles (deg): 102.60 102.60 25.70
Sites, in units of the cell vectors:
Tl1 0.000 0.000 0.000
Tl2 0.318 0.318 0.175
Tl3 0.335 0.335 0.704
Tl4 0.665 0.665 0.296
Tl5 0.682 0.682 0.825
Cu1 0.000 0.000 0.500
Se1 0.137 0.137 0.544
Se2 0.489 0.489 0.263
Se3 0.511 0.511 0.737
Se4 0.863 0.863 0.456


No. 4
Material: V2GaAu2Se4
Method: DFT, PBE-GGA
State: relaxed

The space group is P3m1, No. 156. Its formation energy without anion corrections is -0.46 eV/atom.

a b c (Å): 3.336 3.336 18.976
angles (deg): 90.00 90.00 120.00
Sites, in units of the cell vectors:
V1 0.000 0.000 0.000
V2 0.333 0.667 0.355
Ga1 0.333 0.667 0.672
Au1 0.000 0.000 0.576
Au2 0.000 0.000 0.767
Se1 0.000 0.000 0.272
Se2 0.000 0.000 0.438
Se3 0.333 0.667 0.084
Se4 0.333 0.667 0.916


No. 5
Material: AcDy2HoSb4
Method: DFT, PBE-GGA
State: relaxed

The space group is P2/m, No. 10. Its formation energy without anion corrections is -1.11 eV/atom.

a b c (Å): 7.775 4.493 7.777
angles (deg): 90.00 109.42 90.00
Sites, in units of the cell vectors:
Ac1 0.000 0.000 0.000
Dy1 0.000 0.500 0.500
Dy2 0.500 0.000 0.500
Ho1 0.500 0.500 0.000
Sb1 0.258 0.000 0.743
Sb2 0.266 0.500 0.265
Sb3 0.734 0.500 0.735
Sb4 0.742 0.000 0.257


No. 6
Material: Sr4NbC2
Method: DFT, PBE-GGA
State: relaxed

The space group is I4/mmm, No. 139. The energy of formation from the pure elements comes out at 0.667 eV/atom.

a b c (Å): 8.035 8.035 8.035
angles (deg): 134.24 134.24 66.71
Sites, in units of the cell vectors:
Sr1 0.000 0.500 0.500
Sr2 0.241 0.241 0.000
Sr3 0.500 0.000 0.500
Sr4 0.759 0.759 0.000
Nb1 0.500 0.500 0.000
C1 0.047 0.047 0.000
C2 0.953 0.953 0.000